CrHg2Ge4: optimized geometry, PBE.

Unit cell a=4.5275 b=4.5275 c=9.1950 alpha=75.75 beta=75.75 gamma=90.00
Closest atoms and distances in Å follow each position.
Atoms (fractional coordinates):
Hg (0.6880, 0.6880, 0.6241)  5 Ge 3.05-3.33
Hg (0.3120, 0.3120, 0.3759)  5 Ge 3.05-3.33
Ge (0.1352, 0.1352, 0.7296)  1 Cr 2.33
Ge (0.0000, 0.5000, 0.0000)  2 Cr 2.26
Ge (0.5000, 0.0000, 0.0000)  2 Cr 2.26
Ge (0.8648, 0.8648, 0.2704)  1 Cr 2.33
Cr (0.0000, 0.0000, 0.0000)  6 Ge 2.26-2.33

SG: I4/mmm (139)
total magnetization: 0.0 μB/cell
calculated density: 6.99 Mg/m³
E_tot: -3.78 eV/atom
ΔH_f (0 K): 2.26 eV per formula unit

CrNiHg2Ge: optimized geometry, PBE.

Unit cell a=5.2018 b=4.4284 c=5.2018 alpha=90.00 beta=90.00 gamma=90.00
Closest atoms and distances in Å follow each position.
Atoms (fractional coordinates):
Hg (0.0000, 0.0000, 0.5000)  2 Ge 2.60
Hg (0.5000, 0.0000, 0.0000)  2 Ge 2.60
Ni (0.0000, 0.5000, 0.0000)  2 Ge 2.21
Cr (0.5000, 0.5000, 0.5000)  8 Hg 3.42, 4 Ni 3.68
Ge (0.0000, 0.0000, 0.0000)  2 Ni 2.21

SG: P4/mmm (123)
total magnetization: 4.9 μB/cell
calculated density: 8.10 Mg/m³
E_tot: -3.34 eV/atom
ΔH_f (0 K): 3.91 eV per formula unit

CrSiHgGe2: optimized geometry, PBE.

Unit cell a=5.1718 b=4.8944 c=5.1718 alpha=90.00 beta=90.00 gamma=90.00
Closest atoms and distances in Å follow each position.
Atoms (fractional coordinates):
Hg (0.0000, 0.0000, 0.0000)  2 Si 2.45, 4 Ge 2.59
Si (0.0000, 0.5000, 0.0000)  2 Hg 2.45
Cr (0.5000, 0.5000, 0.5000)  8 Ge 3.56, 4 Si 3.66
Ge (0.0000, 0.0000, 0.5000)  2 Hg 2.59
Ge (0.5000, 0.0000, 0.0000)  2 Hg 2.59

SG: P4/mmm (123)
total magnetization: 0.0 μB/cell
calculated density: 5.40 Mg/m³
ΔE_f (raw): 1.817 eV per atom
E_tot: -3.10 eV/atom